Record 1
Below is KFeCu2 after structural relaxation, with properties calculated at the GGA-PBE level.

extended XYZ file:
```
16
Lattice="4.926 0.000 0.000 0.000 4.926 0.000 0.000 0.000 16.335" Properties=species:S:1:pos:R:3 pbc="T T T"
K 0.000 1.231 6.126
K 0.000 3.694 10.210
K 2.463 1.231 2.042
K 2.463 3.694 14.294
Fe 0.000 1.231 14.294
Fe 0.000 3.694 2.042
Fe 2.463 1.231 10.210
Fe 2.463 3.694 6.126
Cu 0.000 0.000 0.000
Cu 0.000 2.463 0.000
Cu 1.231 1.231 12.252
Cu 1.231 3.694 4.084
Cu 2.463 0.000 8.168
Cu 2.463 2.463 8.168
Cu 3.694 1.231 12.252
Cu 3.694 3.694 4.084
```

Properties
Energy relative to the elements = 0.76 eV per atom
Offset from the most stable computed form = 0.976 eV per formula unit


Record 2
Below is TlSb2Rh2 after structural relaxation, with properties calculated at the GGA-PBE level.

extended XYZ file:
```
10
Lattice="8.244 0.000 0.000 0.000 8.244 0.000 0.000 0.000 3.116" Properties=species:S:1:pos:R:3 pbc="T T T"
Tl 0.000 0.000 0.000
Tl 4.122 4.122 0.000
Sb 1.200 2.922 0.000
Sb 2.922 7.043 0.000
Sb 5.322 1.200 0.000
Sb 7.043 5.322 0.000
Rh 1.076 5.197 1.558
Rh 3.046 1.076 1.558
Rh 5.197 7.168 1.558
Rh 7.168 3.046 1.558
```

Properties
Formation energy from raw total energies = -0.22 eV/f.u.
Offset from the most stable computed form = 1.142 eV per formula unit


Record 3
Below is LaTlSi2 after structural relaxation, with properties calculated at the GGA-PBE level.

extended XYZ file:
```
8
Lattice="4.512 0.000 0.000 0.000 4.512 0.000 0.000 0.000 9.267" Properties=species:S:1:pos:R:3 pbc="T T T"
La 0.000 0.000 0.000
La 2.256 2.256 4.634
Tl 0.000 0.000 4.634
Tl 2.256 2.256 0.000
Si 0.000 2.256 2.317
Si 0.000 2.256 6.950
Si 2.256 0.000 2.317
Si 2.256 0.000 6.950
```

Properties
Formation energy from raw total energies = -0.19 eV/f.u.
Offset from the most stable computed form = 0.735 eV per formula unit


Record 4
Below is SrTl2Zn after structural relaxation, with properties calculated at the GGA-PBE level.

extended XYZ file:
```
12
Lattice="4.711 0.000 0.000 -2.356 4.080 0.000 0.000 0.000 18.357" Properties=species:S:1:pos:R:3 pbc="T T T"
Sr 0.000 0.000 0.000
Sr 0.000 2.720 12.238
Sr 2.356 1.360 6.119
Tl 0.000 0.000 4.090
Tl 0.000 0.000 14.267
Tl 0.000 2.720 8.148
Tl 0.000 2.720 16.328
Tl 2.356 1.360 2.029
Tl 2.356 1.360 10.209
Zn 0.000 0.000 9.178
Zn 0.000 2.720 3.059
Zn 2.356 1.360 15.297
```

Properties
Energy relative to the elements = -0.19 eV per atom


Record 5
Below is TbHf2N after structural relaxation, with properties calculated at the GGA-PBE level.

extended XYZ file:
```
12
Lattice="3.229 0.000 0.000 -1.614 2.796 0.000 0.000 0.000 26.442" Properties=species:S:1:pos:R:3 pbc="T T T"
Tb 0.000 0.000 0.000
Tb 0.000 1.864 17.628
Tb 1.614 0.932 8.814
Hf 0.000 0.000 3.174
Hf 0.000 0.000 23.269
Hf 0.000 1.864 14.455
Hf 0.000 1.864 20.802
Hf 1.614 0.932 5.641
Hf 1.614 0.932 11.988
N 0.000 0.000 13.221
N 0.000 1.864 4.407
N 1.614 0.932 22.035
```

Properties
Formation energy from raw total energies = -2.59 eV/f.u.


Record 6
Below is VCI2N after structural relaxation, with properties calculated at the GGA-PBE level.

extended XYZ file:
```
5
Lattice="6.486 0.000 0.000 0.000 6.486 0.000 0.000 0.000 2.692" Properties=species:S:1:pos:R:3 pbc="T T T"
V 0.000 0.000 0.000
C 3.243 3.243 1.346
I 0.000 3.243 1.346
I 3.243 0.000 1.346
N 3.243 3.243 0.000
```

Properties
Formation energy from raw total energies = 6.74 eV/f.u.
Offset from the most stable computed form = 0.000 eV per formula unit


Record 7
Below is Ag6Te7 after structural relaxation, with properties calculated at the GGA-PBE level.

extended XYZ file:
```
13
Lattice="3.621 2.090 8.361 -3.621 2.090 8.361 0.000 -4.181 8.361" Properties=species:S:1:pos:R:3 pbc="T T T"
Ag 0.000 0.000 1.474
Ag 0.000 0.000 4.238
Ag 0.000 0.000 8.468
Ag 0.000 0.000 16.615
Ag 0.000 0.000 20.845
Ag 0.000 0.000 23.609
Te -1.879 -1.085 10.391
Te 0.000 -2.170 14.692
Te -1.879 1.085 14.692
Te 0.000 0.000 12.542
Te 1.879 -1.085 10.391
Te 0.000 2.170 10.391
Te 1.879 1.085 14.692
```

Properties
Formation energy from raw total energies = 4.80 eV/f.u.


Record 8
Below is K2AlHg after structural relaxation, with properties calculated at the GGA-PBE level.

extended XYZ file:
```
8
Lattice="5.097 0.000 0.000 0.000 5.110 0.000 0.000 0.000 10.627" Properties=species:S:1:pos:R:3 pbc="T T T"
K 0.000 0.000 2.653
K 0.000 0.000 7.974
K 2.548 2.555 2.660
K 2.548 2.555 7.966
Al 0.000 2.555 0.000
Al 2.548 0.000 5.313
Hg 0.000 2.555 5.313
Hg 2.548 0.000 0.000
```

Properties
Energy relative to the elements = 0.20 eV per atom
Offset from the most stable computed form = 0.764 eV per formula unit


Record 9
Below is CsCuCl3 after structural relaxation, with properties calculated at the GGA-PBE level.

extended XYZ file:
```
10
Lattice="4.192 0.000 0.000 0.000 9.246 0.000 -0.073 0.000 8.217" Properties=species:S:1:pos:R:3 pbc="T T T"
Cs 0.002 2.312 0.747
Cs 4.117 6.935 7.470
Cu 2.013 2.312 5.415
Cu 2.106 6.935 2.802
Cl 0.008 6.935 3.772
Cl 2.017 0.354 6.504
Cl 2.017 4.269 6.504
Cl 2.102 4.978 1.713
Cl 2.102 8.892 1.713
Cl 4.111 2.312 4.445
```

Properties
Formation energy from raw total energies = -5.23 eV/f.u.


Record 10
Below is Cs3MnAg2Br9 after structural relaxation, with properties calculated at the GGA-PBE level.

extended XYZ file:
```
15
Lattice="7.731 0.000 0.000 -3.866 6.695 0.000 0.000 0.000 9.483" Properties=species:S:1:pos:R:3 pbc="T T T"
Cs 0.000 0.000 0.000
Cs 0.000 4.464 6.399
Cs 3.866 2.232 3.084
Mn 0.000 0.000 4.741
Ag 0.000 4.464 1.591
Ag 3.866 2.232 7.891
Br -1.933 3.348 0.000
Br 0.000 2.112 3.271
Br -2.036 5.639 3.271
Br 1.829 1.056 6.212
Br 3.866 0.000 0.000
Br 1.933 3.348 0.000
Br 2.036 5.639 3.271
Br 5.902 1.056 6.212
Br 3.866 4.583 6.212
```

Properties
Formation energy from raw total energies = -15.30 eV/f.u.


Record 11
Below is MnBeTe2 after structural relaxation, with properties calculated at the GGA-PBE level.

extended XYZ file:
```
8
Lattice="6.701 0.000 0.000 0.000 3.875 0.000 -2.243 0.000 6.567" Properties=species:S:1:pos:R:3 pbc="T T T"
Mn 0.000 0.000 0.000
Mn 3.351 1.937 0.000
Be -1.121 1.937 3.283
Be 2.229 0.000 3.283
Te 0.007 0.000 4.792
Te 1.101 1.937 1.774
Te 3.357 1.937 4.792
Te 4.452 0.000 1.774
```

Properties
Formation energy from raw total energies = 0.24 eV/f.u.


Record 12
Below is Ac8Co3Pt2 after structural relaxation, with properties calculated at the GGA-PBE level.

extended XYZ file:
```
13
Lattice="7.776 -4.160 0.000 7.776 4.160 0.000 -2.240 0.000 6.826" Properties=species:S:1:pos:R:3 pbc="T T T"
Ac 0.766 0.000 2.786
Ac 5.761 1.989 0.652
Ac 7.551 1.989 6.175
Ac 4.755 0.000 4.003
Ac 8.556 0.000 2.824
Ac 5.761 -1.989 0.652
Ac 7.551 -1.989 6.175
Ac 12.546 0.000 4.041
Co 6.656 2.135 3.413
Co 7.776 0.000 0.000
Co 6.656 -2.135 3.413
Pt 3.402 0.000 1.137
Pt 9.909 0.000 5.689
```

Properties
Energy relative to the elements = -0.34 eV per atom


Record 13
Below is ZrAl2Cu after structural relaxation, with properties calculated at the GGA-PBE level.

extended XYZ file:
```
8
Lattice="4.144 0.000 0.000 -2.072 3.589 0.000 0.000 0.000 9.154" Properties=species:S:1:pos:R:3 pbc="T T T"
Zr 0.000 2.393 2.288
Zr 2.072 1.196 6.865
Al 0.000 2.393 5.244
Al 0.000 2.393 8.487
Al 2.072 1.196 0.667
Al 2.072 1.196 3.910
Cu 0.000 0.000 0.000
Cu 0.000 0.000 4.577
```

Properties
Energy relative to the elements = -0.28 eV per atom


Record 14
Below is K6Zn4Sn5S17 after structural relaxation, with properties calculated at the GGA-PBE level.

extended XYZ file:
```
32
Lattice="4.905 -9.892 0.000 4.905 9.892 0.000 -4.761 0.000 9.935" Properties=species:S:1:pos:R:3 pbc="T T T"
K 0.000 0.000 0.000
K 4.905 4.735 0.000
K -0.047 -4.698 5.107
K 4.905 -0.364 0.000
K 2.524 -7.967 4.967
K 5.095 -4.698 4.828
Zn -1.223 -3.754 8.592
Zn 3.572 -6.502 1.353
Zn 6.272 -3.754 1.343
Zn 1.476 -6.502 8.582
Sn 2.204 2.561 2.243
Sn 2.524 -0.212 4.967
Sn 2.845 2.561 7.692
Sn 2.744 -2.937 2.231
Sn 2.305 -2.937 7.704
S -0.069 1.953 2.747
S 2.745 4.842 2.761
S -2.011 2.034 9.892
S -2.672 -2.451 9.909
S 2.303 4.842 7.174
S 1.108 -1.633 3.578
S 1.175 1.231 6.407
S 0.043 -2.293 7.242
S 3.874 1.231 3.528
S 7.060 2.034 0.042
S 2.231 -5.229 2.835
S 5.005 -2.293 2.693
S 4.905 -5.126 0.000
S 5.118 1.953 7.187
S 3.940 -1.633 6.357
S 2.818 -5.229 7.100
S 7.721 -2.451 0.026
```

Properties
Formation energy from raw total energies = -26.02 eV/f.u.


Record 15
Below is Dy3ErIr3 after structural relaxation, with properties calculated at the GGA-PBE level.

extended XYZ file:
```
7
Lattice="4.814 2.779 1.975 -4.814 2.779 1.975 0.000 -5.559 1.975" Properties=species:S:1:pos:R:3 pbc="T T T"
Dy -2.407 -1.390 1.975
Dy -2.407 1.390 3.949
Dy 0.000 2.779 1.975
Er 0.000 0.000 0.000
Ir -4.814 0.000 2.962
Ir -2.407 1.390 0.987
Ir 2.407 1.390 0.987
```

Properties
Energy relative to the elements = -0.75 eV per atom
Offset from the most stable computed form = 0.000 eV per formula unit


Record 16
Below is ErPdAu4 after structural relaxation, with properties calculated at the GGA-PBE level.

extended XYZ file:
```
6
Lattice="0.000 3.874 3.874 3.874 0.000 3.874 3.874 3.874 0.000" Properties=species:S:1:pos:R:3 pbc="T T T"
Er 0.000 0.000 0.000
Pd 5.811 5.811 5.811
Au 2.908 2.908 2.908
Au 4.840 4.840 2.908
Au 4.840 2.908 4.840
Au 2.908 4.840 4.840
```

Properties
Energy relative to the elements = -0.43 eV per atom
Offset from the most stable computed form = 0.510 eV per formula unit


Record 17
Below is Mg2Ga2Ag3 after structural relaxation, with properties calculated at the GGA-PBE level.

extended XYZ file:
```
14
Lattice="19.600 0.000 0.000 0.000 3.071 0.000 -1.000 0.000 4.315" Properties=species:S:1:pos:R:3 pbc="T T T"
Mg 2.548 0.000 0.582
Mg 6.252 1.536 3.734
Mg 12.349 1.536 0.582
Mg 16.052 0.000 3.734
Ga 0.878 1.536 2.476
Ga 7.922 0.000 1.840
Ga 10.678 0.000 2.476
Ga 17.722 1.536 1.840
Ag 0.000 1.536 0.000
Ag 3.499 1.536 3.084
Ag 5.301 0.000 1.231
Ag 9.800 0.000 0.000
Ag 13.300 0.000 3.084
Ag 15.101 1.536 1.231
```

Properties
Energy relative to the elements = -0.11 eV per atom


Record 18
Below is KTlCo2Br8 after structural relaxation, with properties calculated at the GGA-PBE level.

extended XYZ file:
```
12
Lattice="3.603 2.080 9.578 -3.603 2.080 9.578 0.000 -4.160 9.578" Properties=species:S:1:pos:R:3 pbc="T T T"
K 0.000 0.000 0.000
Tl 0.000 0.000 14.366
Co 0.000 0.000 6.903
Co 0.000 0.000 21.830
Br -2.167 -0.400 11.499
Br 0.000 0.000 4.597
Br -0.737 -2.076 17.234
Br 1.429 -1.677 11.499
Br -1.429 1.677 17.234
Br 0.737 2.076 11.499
Br 0.000 0.000 24.136
Br 2.167 0.400 17.234
```

Properties
Formation energy from raw total energies = -7.28 eV/f.u.


Record 19
Below is TaTi2Bi after structural relaxation, with properties calculated at the GGA-PBE level.

extended XYZ file:
```
4
Lattice="3.512 0.000 0.000 0.000 3.512 0.000 0.000 0.000 6.197" Properties=species:S:1:pos:R:3 pbc="T T T"
Ta 0.000 0.000 0.000
Ti 1.756 1.756 1.441
Ti 1.756 1.756 4.756
Bi 0.000 0.000 3.099
```

Properties
Energy relative to the elements = -0.08 eV per atom


Record 20
Below is KNiSn after structural relaxation, with properties calculated at the GGA-PBE level.

extended XYZ file:
```
6
Lattice="3.563 0.000 0.000 -1.760 4.208 0.000 -0.251 -1.490 11.988" Properties=species:S:1:pos:R:3 pbc="T T T"
K -0.093 1.111 2.079
K 1.645 1.607 9.909
Ni -0.108 2.239 6.460
Ni 1.659 0.480 5.528
Sn -0.127 -0.185 7.393
Sn 1.679 2.903 4.594
```

Properties
Energy relative to the elements = -0.10 eV per atom


How do the records compare in mass density? In the order shown, they have 3.72; 10.25; 7.03; 7.93; 11.06; 4.85; 6.74; 3.67; 3.16; 4.70; 6.22; 8.96; 5.09; 2.82; 12.90; 15.16; 6.54; 3.86; 10.55; 4.00 Mg/m³.